# ThNiP2Rh2, optimized geometry, DFT GGA-PBE
# total moment: 0.00 μB per formula unit
# formation energy: -0.78 eV/atom
data_ThNiP2Rh2
_chemical_formula_sum 'Th2 Ni2 P4 Rh4'
_space_group_name_H-M_alt 'I 4/m m m'
_space_group_IT_number 139
_space_group_name_Hall '-I 4 2'
_cell_length_a 3.960
_cell_length_b 3.960
_cell_length_c 13.471
_cell_angle_alpha 90.00
_cell_angle_beta 90.00
_cell_angle_gamma 90.00
loop_
_atom_site_label
_atom_site_type_symbol
_atom_site_fract_x
_atom_site_fract_y
_atom_site_fract_z
Th1 Th 0.000 0.000 0.000
Ni1 Ni 0.000 0.000 0.500
P1 P 0.000 0.000 0.345
Rh1 Rh 0.000 0.500 0.250

---

# Th3NiP2Rh9, optimized geometry, DFT GGA-PBE
# total moment: 0.00 μB per formula unit
# formation energy: -0.66 eV/atom
data_Th3NiP2Rh9
_chemical_formula_sum 'Th3 Ni1 P2 Rh9'
_space_group_name_H-M_alt 'P -3 m 1'
_space_group_IT_number 164
_space_group_name_Hall '-P 3 2"'
_cell_length_a 5.7613
_cell_length_b 5.7613
_cell_length_c 9.7205
_cell_angle_alpha 90.00
_cell_angle_beta 90.00
_cell_angle_gamma 120.00
loop_
_atom_site_label
_atom_site_type_symbol
_atom_site_fract_x
_atom_site_fract_y
_atom_site_fract_z
Th1 Th 0.0000 0.0000 0.0000
Th2 Th 0.3333 0.6667 0.6086
Ni1 Ni 0.0000 0.0000 0.5000
P1 P 0.3333 0.6667 0.1609
Rh1 Rh 0.0000 0.5000 0.0000
Rh2 Rh 0.1607 0.3215 0.3064

---

# TmNi5P2Rh, optimized geometry, DFT GGA-PBE
# total moment: 0.00 μB per formula unit
# formation energy: -0.22 eV/atom
data_TmNi5P2Rh
_chemical_formula_sum 'Tm1 Ni5 P2 Rh1'
_space_group_name_H-M_alt 'P 4/m m m'
_space_group_IT_number 123
_space_group_name_Hall '-P 4 2'
_cell_length_a 3.791
_cell_length_b 3.791
_cell_length_c 9.578
_cell_angle_alpha 90.00
_cell_angle_beta 90.00
_cell_angle_gamma 90.00
loop_
_atom_site_label
_atom_site_type_symbol
_atom_site_fract_x
_atom_site_fract_y
_atom_site_fract_z
Tm1 Tm 0.000 0.000 0.000
Ni1 Ni 0.000 0.500 0.332
Ni2 Ni 0.500 0.500 0.000
P1 P 0.500 0.500 0.219
Rh1 Rh 0.000 0.000 0.500

---

# Tm2Ni12P3Rh, optimized geometry, DFT GGA-PBE
# total moment: 0.00 μB per formula unit
# formation energy: -0.09 eV/atom
data_Tm2Ni12P3Rh
_chemical_formula_sum 'Tm6 Ni36 P9 Rh3'
_space_group_name_H-M_alt 'R -3 m'
_space_group_IT_number 166
_space_group_name_Hall '-R 3 2"'
_cell_length_a 8.4570
_cell_length_b 8.4570
_cell_length_c 11.5874
_cell_angle_alpha 90.00
_cell_angle_beta 90.00
_cell_angle_gamma 120.00
loop_
_atom_site_label
_atom_site_type_symbol
_atom_site_fract_x
_atom_site_fract_y
_atom_site_fract_z
Tm1 Tm 0.0000 0.0000 0.2073
Ni1 Ni 0.0020 0.5010 0.8125
Ni2 Ni 0.0153 0.5076 0.6107
P1 P 0.0000 0.5000 0.0000
Rh1 Rh 0.0000 0.0000 0.5000

---

# U2Ni3P4Rh, optimized geometry, DFT GGA-PBE
# total moment: 4.45 μB per formula unit
# formation energy: -0.76 eV/atom
data_U2Ni3P4Rh
_chemical_formula_sum 'U2 Ni3 P4 Rh1'
_space_group_name_H-M_alt 'P -4 m 2'
_space_group_IT_number 115
_cell_length_a 4.042
_cell_length_b 4.042
_cell_length_c 9.058
_cell_angle_alpha 90.00
_cell_angle_beta 90.00
_cell_angle_gamma 90.00
loop_
_space_group_symop_operation_xyz
'x,y,z'
'y,-x,-z'
'-x,-y,z'
'-y,x,-z'
'-x,y,z'
'-y,-x,-z'
'x,-y,z'
'y,x,-z'
loop_
_atom_site_label
_atom_site_type_symbol
_atom_site_fract_x
_atom_site_fract_y
_atom_site_fract_z
U1 U 0.000 0.500 0.240
Ni1 Ni 0.000 0.500 0.888
Ni2 Ni 0.500 0.500 0.500
P1 P 0.000 0.000 0.000
P2 P 0.000 0.500 0.641
P3 P 0.500 0.500 0.000
Rh1 Rh 0.000 0.000 0.500

---

# V2NiPRh, optimized geometry, DFT GGA-PBE
# total moment: 0.00 μB per formula unit
# formation energy: 0.24 eV/atom
data_V2NiPRh
_chemical_formula_sum 'V2 Ni1 P1 Rh1'
_space_group_name_H-M_alt 'P 4/m m m'
_space_group_IT_number 123
_space_group_name_Hall '-P 4 2'
_cell_length_a 4.323
_cell_length_b 4.323
_cell_length_c 4.009
_cell_angle_alpha 90.00
_cell_angle_beta 90.00
_cell_angle_gamma 90.00
loop_
_atom_site_label
_atom_site_type_symbol
_atom_site_fract_x
_atom_site_fract_y
_atom_site_fract_z
V1 V 0.000 0.500 0.000
Ni1 Ni 0.000 0.000 0.500
P1 P 0.000 0.000 0.000
Rh1 Rh 0.500 0.500 0.500

---

# NiP2RhW, optimized geometry, DFT GGA-PBE
# total moment: 0.00 μB per formula unit
# formation energy: 1.08 eV/atom
data_NiP2RhW
_chemical_formula_sum 'Ni1 P2 Rh1 W1'
_space_group_name_H-M_alt 'P 4/m m m'
_space_group_IT_number 123
_space_group_name_Hall '-P 4 2'
_cell_length_a 4.175
_cell_length_b 4.175
_cell_length_c 4.639
_cell_angle_alpha 90.00
_cell_angle_beta 90.00
_cell_angle_gamma 90.00
loop_
_atom_site_label
_atom_site_type_symbol
_atom_site_fract_x
_atom_site_fract_y
_atom_site_fract_z
Ni1 Ni 0.000 0.000 0.000
P1 P 0.000 0.500 0.000
Rh1 Rh 0.500 0.500 0.500
W1 W 0.000 0.000 0.500

---

# Y2Ni3P4Rh, optimized geometry, DFT GGA-PBE
# total moment: 0.00 μB per formula unit
# formation energy: -1.00 eV/atom
data_Y2Ni3P4Rh
_chemical_formula_sum 'Y2 Ni3 P4 Rh1'
_space_group_name_H-M_alt 'P -4 m 2'
_space_group_IT_number 115
_cell_length_a 4.021
_cell_length_b 4.021
_cell_length_c 9.207
_cell_angle_alpha 90.00
_cell_angle_beta 90.00
_cell_angle_gamma 90.00
loop_
_space_group_symop_operation_xyz
'x,y,z'
'y,-x,-z'
'-x,-y,z'
'-y,x,-z'
'-x,y,z'
'-y,-x,-z'
'x,-y,z'
'y,x,-z'
loop_
_atom_site_label
_atom_site_type_symbol
_atom_site_fract_x
_atom_site_fract_y
_atom_site_fract_z
Y1 Y 0.000 0.500 0.241
Ni1 Ni 0.000 0.500 0.885
Ni2 Ni 0.500 0.500 0.500
P1 P 0.000 0.000 0.000
P2 P 0.000 0.500 0.638
P3 P 0.500 0.500 0.000
Rh1 Rh 0.000 0.000 0.500

---

Q: total moment of number 6 (V2NiPRh)?
A: 0.00 μB per formula unit

---

What did the seventh record say?
# NiP2RhW, optimized geometry, DFT GGA-PBE
# total moment: 0.00 μB per formula unit
# formation energy: 1.08 eV/atom
data_NiP2RhW
_chemical_formula_sum 'Ni1 P2 Rh1 W1'
_space_group_name_H-M_alt 'P 4/m m m'
_space_group_IT_number 123
_space_group_name_Hall '-P 4 2'
_cell_length_a 4.175
_cell_length_b 4.175
_cell_length_c 4.639
_cell_angle_alpha 90.00
_cell_angle_beta 90.00
_cell_angle_gamma 90.00
loop_
_atom_site_label
_atom_site_type_symbol
_atom_site_fract_x
_atom_site_fract_y
_atom_site_fract_z
Ni1 Ni 0.000 0.000 0.000
P1 P 0.000 0.500 0.000
Rh1 Rh 0.500 0.500 0.500
W1 W 0.000 0.000 0.500